(1)
First-principles (PBE-GGA) data for a relaxed structure of PuAlPdAu, as listed in Alexandria.

Calculated values
The value obtained for the formation enthalpy at 0 K is -0.436 eV/atom.

Lattice parameters (Å, degrees): 4.3577 4.3577 5.7255 67.63 67.63 60.00
Closest atoms and distances in Å follow each position.
Atoms (fractional coordinates):
Al 0.6162 0.6162 0.1513  3 Pd 2.53, 3 Au 2.79
Pd 0.2652 0.2652 0.2044  3 Al 2.53
Pu 0.8170 0.8170 0.5491  3 Pd 3.08, 4 Al 3.10-3.24, 4 Au 3.15-3.25
Au 0.0275 0.0275 0.9176  3 Al 2.79, 3 Pd 2.92

(2)
First-principles (PBE-GGA) data for a relaxed structure of RbAl2PdAu, as listed in Alexandria.

Calculated values
The value obtained for the formation enthalpy at 0 K is -0.128 eV/atom.

Lattice parameters (Å, degrees): 4.7933 5.5020 4.7933 90.00 90.00 90.00
Closest atoms and distances in Å follow each position.
Atoms (fractional coordinates):
Rb 0.5000 0.5000 0.5000  4 Au 3.39, 8 Al 3.65
Au 0.0000 0.5000 0.0000  2 Pd 2.75
Al 0.0000 0.0000 0.5000  2 Pd 2.40
Al 0.5000 0.0000 0.0000  2 Pd 2.40
Pd 0.0000 0.0000 0.0000  4 Al 2.40

(3)
First-principles (PBE-GGA) data for a relaxed structure of Sm2Al4PdAu3, as listed in Alexandria.

Calculated values
The value obtained for the formation enthalpy at 0 K is -0.775 eV/atom.

Lattice parameters (Å, degrees): 4.3505 4.3505 10.5376 90.00 90.00 90.00
Closest atoms and distances in Å follow each position.
Atoms (fractional coordinates):
Al 0.0000 0.5000 0.3733  3 Au 2.51-2.55, 2 Pd 2.55
Al 0.5000 0.0000 0.6267  3 Au 2.51-2.55, 2 Pd 2.55
Al 0.0000 0.0000 0.0000  4 Au 2.60
Al 0.5000 0.5000 0.0000  4 Au 2.60
Au 0.0000 0.0000 0.5000  4 Al 2.55
Au 0.0000 0.5000 0.1353  5 Al 2.51-2.60
Au 0.5000 0.0000 0.8647  5 Al 2.51-2.60
Sm 0.5000 0.0000 0.2507  6 Au 3.31-3.41, 8 Al 3.34-3.42, 2 Pd 3.41
Sm 0.0000 0.5000 0.7493  6 Au 3.31-3.41, 8 Al 3.34-3.42, 2 Pd 3.41
Pd 0.5000 0.5000 0.5000  4 Al 2.55

(4)
First-principles (PBE-GGA) data for a relaxed structure of SmAl3PdAu, as listed in Alexandria.

Calculated values
The value obtained for the formation enthalpy at 0 K is -0.535 eV/atom.

Lattice parameters (Å, degrees): 5.9390 6.0817 7.1352 115.23 90.00 90.00
Closest atoms and distances in Å follow each position.
Atoms (fractional coordinates):
Sm 0.7500 0.2936 0.5873  1 Pd 2.73, 2 Au 3.03
Sm 0.2500 0.7064 0.4127  1 Pd 2.73, 2 Au 3.03
Al 0.2500 0.1329 0.2658  1 Au 2.68, 1 Pd 2.78, 4 Al 2.86
Al 0.7500 0.8671 0.7342  1 Au 2.68, 1 Pd 2.78, 4 Al 2.86
Al 0.5000 0.7130 0.0000  2 Pd 2.53, 1 Al 2.59
Al 0.0000 0.2870 0.0000  2 Pd 2.53, 1 Al 2.59
Al 0.0000 0.7130 0.0000  2 Pd 2.53, 1 Al 2.59
Al 0.5000 0.2870 0.0000  2 Pd 2.53, 1 Al 2.59
Au 0.7500 0.6592 0.3185  5 Al 2.68-2.85
Au 0.2500 0.3408 0.6815  5 Al 2.68-2.85
Pd 0.7500 0.0822 0.1644  5 Al 2.53-2.78, 1 Sm 2.73
Pd 0.2500 0.9178 0.8356  5 Al 2.53-2.78, 1 Sm 2.73

(5)
First-principles (PBE-GGA) data for a relaxed structure of SmAlPdAu, as listed in Alexandria.

Calculated values
The value obtained for the formation enthalpy at 0 K is -0.688 eV/atom.

Lattice parameters (Å, degrees): 4.8329 4.8329 4.8329 60.00 60.00 60.00
Closest atoms and distances in Å follow each position.
Atoms (fractional coordinates):
Au 0.2500 0.2500 0.2500  4 Sm 2.96, 4 Al 2.96
Pd 0.7500 0.7500 0.7500  4 Sm 2.96, 4 Al 2.96
Sm 0.5000 0.5000 0.5000  4 Pd 2.96, 4 Au 2.96
Al 0.0000 0.0000 0.0000  4 Pd 2.96, 4 Au 2.96

(6)
First-principles (PBE-GGA) data for a relaxed structure of SmAl4PdAu2, as listed in Alexandria.

Calculated values
The value obtained for the formation enthalpy at 0 K is -0.593 eV/atom.

Lattice parameters (Å, degrees): 4.3713 4.3713 9.2417 76.32 76.32 60.00
Closest atoms and distances in Å follow each position.
Atoms (fractional coordinates):
Au 0.7544 0.7544 0.7368  6 Al 2.57-2.79
Au 0.2456 0.2456 0.2632  6 Al 2.57-2.79
Pd 0.5000 0.5000 0.5000  8 Al 2.59-2.69
Sm 0.0000 0.0000 0.0000  6 Al 3.13, 6 Au 3.44
Al 0.5972 0.5972 0.2084  3 Au 2.57, 1 Pd 2.59
Al 0.4028 0.4028 0.7916  3 Au 2.57, 1 Pd 2.59
Al 0.1321 0.1321 0.6037  3 Pd 2.69, 3 Au 2.79
Al 0.8679 0.8679 0.3963  3 Pd 2.69, 3 Au 2.79

(7)
First-principles (PBE-GGA) data for a relaxed structure of SmAl2Pd5Au, as listed in Alexandria.

Calculated values
The value obtained for the formation enthalpy at 0 K is -0.572 eV/atom.

Lattice parameters (Å, degrees): 4.0912 4.0912 9.5524 90.00 90.00 90.00
Closest atoms and distances in Å follow each position.
Atoms (fractional coordinates):
Pd 0.0000 0.5000 0.7280  2 Al 2.45
Pd 0.5000 0.5000 0.5000  4 Sm 2.89, 8 Pd 2.99
Pd 0.0000 0.5000 0.2720  2 Al 2.45
Pd 0.5000 0.0000 0.2720  2 Al 2.45
Pd 0.5000 0.0000 0.7280  2 Al 2.45
Sm 0.0000 0.0000 0.5000  12 Pd 2.89-2.99
Al 0.5000 0.5000 0.8692  4 Pd 2.45, 1 Al 2.50
Al 0.5000 0.5000 0.1308  4 Pd 2.45, 1 Al 2.50
Au 0.0000 0.0000 0.0000  8 Al 3.15, 8 Pd 3.31

(8)
First-principles (PBE-GGA) data for a relaxed structure of Sm2Al4Pd3Au, as listed in Alexandria.

Calculated values
The value obtained for the formation enthalpy at 0 K is -0.823 eV/atom.

Lattice parameters (Å, degrees): 4.2739 4.2739 10.6223 90.00 90.00 90.00
Closest atoms and distances in Å follow each position.
Atoms (fractional coordinates):
Al 0.0000 0.0000 0.0000  4 Pd 2.55
Al 0.0000 0.5000 0.3658  3 Pd 2.49-2.57, 2 Au 2.57
Al 0.5000 0.0000 0.6342  3 Pd 2.49-2.57, 2 Au 2.57
Al 0.5000 0.5000 0.0000  4 Pd 2.55
Au 0.5000 0.5000 0.5000  4 Al 2.57
Sm 0.5000 0.0000 0.2447  6 Pd 3.25-3.45, 8 Al 3.28-3.36, 2 Au 3.45
Sm 0.0000 0.5000 0.7553  6 Pd 3.25-3.45, 8 Al 3.28-3.36, 2 Au 3.45
Pd 0.5000 0.0000 0.8684  5 Al 2.49-2.55
Pd 0.0000 0.5000 0.1316  5 Al 2.49-2.55
Pd 0.0000 0.0000 0.5000  4 Al 2.57

Copy entry 5 word for word.
First-principles (PBE-GGA) data for a relaxed structure of SmAlPdAu, as listed in Alexandria.

Calculated values
The value obtained for the formation enthalpy at 0 K is -0.688 eV/atom.

Lattice parameters (Å, degrees): 4.8329 4.8329 4.8329 60.00 60.00 60.00
Closest atoms and distances in Å follow each position.
Atoms (fractional coordinates):
Au 0.2500 0.2500 0.2500  4 Sm 2.96, 4 Al 2.96
Pd 0.7500 0.7500 0.7500  4 Sm 2.96, 4 Al 2.96
Sm 0.5000 0.5000 0.5000  4 Pd 2.96, 4 Au 2.96
Al 0.0000 0.0000 0.0000  4 Pd 2.96, 4 Au 2.96